# GGA-PBE Ta2CdTe, optimized geometry
# **SG**: Cmm2, No. 35
# **E above lowest polymorph**: 3.4 meV per atom
# **Total magnetic moment**: 0.00 μB/f.u.
# **Crystal system**: orthorhombic
# **N(E_F)**: 2.2 states/eV/cell
# **Formation energy without anion corrections**: 189 meV per atom
data_Ta2CdTe
_cell_length_a 3.059
_cell_length_b 3.059
_cell_length_c 10.309
_cell_angle_alpha 90.00
_cell_angle_beta 90.00
_cell_angle_gamma 107.93
_space_group_name_H-M_alt 'P 1'
_space_group_IT_number 1
loop_
_space_group_symop_operation_xyz
'x,y,z'
loop_
_atom_site_label
_atom_site_type_symbol
_atom_site_fract_x
_atom_site_fract_y
_atom_site_fract_z
Cd1 Cd 0.500 0.500 0.800
Te1 Te 0.000 0.000 0.445
Ta1 Ta 0.000 0.000 0.027
Ta2 Ta 0.500 0.500 0.228

---

# GGA-PBE Ta2CdTe, optimized geometry
# **SG**: Pmmm, No. 47
# **E above lowest polymorph**: 272.6 meV per atom
# **Total magnetic moment**: 0.00 μB/f.u.
# **Crystal system**: orthorhombic
# **N(E_F)**: 2.2 states/eV/cell
# **Formation energy without anion corrections**: 458 meV per atom
data_Ta2CdTe
_cell_length_a 3.500
_cell_length_b 4.914
_cell_length_c 4.694
_cell_angle_alpha 90.00
_cell_angle_beta 90.00
_cell_angle_gamma 90.00
_space_group_name_H-M_alt 'P 1'
_space_group_IT_number 1
loop_
_space_group_symop_operation_xyz
'x,y,z'
loop_
_atom_site_label
_atom_site_type_symbol
_atom_site_fract_x
_atom_site_fract_y
_atom_site_fract_z
Cd1 Cd 0.000 0.500 0.500
Te1 Te 0.500 0.000 0.500
Ta1 Ta 0.000 0.000 0.000
Ta2 Ta 0.500 0.500 0.000

---

# GGA-PBE TaCdTe4, optimized geometry
# **SG**: F-43m, No. 216
# **Total magnetic moment**: 2.60 μB/f.u.
# **Crystal system**: cubic
# **N(E_F)**: 5.3 states/eV/cell
# **Formation energy without anion corrections**: 1007 meV per atom
data_TaCdTe4
_cell_length_a 6.247
_cell_length_b 6.247
_cell_length_c 6.247
_cell_angle_alpha 60.00
_cell_angle_beta 60.00
_cell_angle_gamma 60.00
_space_group_name_H-M_alt 'P 1'
_space_group_IT_number 1
loop_
_space_group_symop_operation_xyz
'x,y,z'
loop_
_atom_site_label
_atom_site_type_symbol
_atom_site_fract_x
_atom_site_fract_y
_atom_site_fract_z
Ta1 Ta 0.000 0.000 0.000
Cd1 Cd 0.750 0.750 0.750
Te1 Te 0.877 0.374 0.374
Te2 Te 0.374 0.374 0.877
Te3 Te 0.374 0.877 0.374
Te4 Te 0.374 0.374 0.374

---

# GGA-PBE Ta2CdTe, optimized geometry
# **SG**: C2/m, No. 12
# **E above lowest polymorph**: 314.5 meV per atom
# **Total magnetic moment**: 0.00 μB/f.u.
# **Crystal system**: monoclinic
# **N(E_F)**: 3.1 states/eV/cell
# **Formation energy without anion corrections**: 500 meV per atom
data_Ta2CdTe
_cell_length_a 5.467
_cell_length_b 5.467
_cell_length_c 3.103
_cell_angle_alpha 80.26
_cell_angle_beta 80.26
_cell_angle_gamma 113.90
_space_group_name_H-M_alt 'P 1'
_space_group_IT_number 1
loop_
_space_group_symop_operation_xyz
'x,y,z'
loop_
_atom_site_label
_atom_site_type_symbol
_atom_site_fract_x
_atom_site_fract_y
_atom_site_fract_z
Cd1 Cd 0.000 0.500 0.500
Te1 Te 0.500 0.000 0.500
Ta1 Ta 0.000 0.000 0.000
Ta2 Ta 0.500 0.500 0.000

---

# GGA-PBE Ta2CdTe, optimized geometry
# **SG**: P2/m, No. 10
# **E above lowest polymorph**: 297.6 meV per atom
# **Total magnetic moment**: 0.00 μB/f.u.
# **Crystal system**: monoclinic
# **N(E_F)**: 3.2 states/eV/cell
# **Formation energy without anion corrections**: 483 meV per atom
data_Ta2CdTe
_cell_length_a 4.615
_cell_length_b 3.085
_cell_length_c 5.766
_cell_angle_alpha 79.47
_cell_angle_beta 90.00
_cell_angle_gamma 90.00
_space_group_name_H-M_alt 'P 1'
_space_group_IT_number 1
loop_
_space_group_symop_operation_xyz
'x,y,z'
loop_
_atom_site_label
_atom_site_type_symbol
_atom_site_fract_x
_atom_site_fract_y
_atom_site_fract_z
Cd1 Cd 0.500 0.750 0.750
Te1 Te 0.500 0.250 0.250
Ta1 Ta 0.000 0.043 0.994
Ta2 Ta 0.000 0.457 0.506

---

# GGA-PBE Ta2CdTe, optimized geometry
# **SG**: Imm2, No. 44
# **E above lowest polymorph**: 197.8 meV per atom
# **Total magnetic moment**: 0.00 μB/f.u.
# **Crystal system**: orthorhombic
# **N(E_F)**: 2.8 states/eV/cell
# **Formation energy without anion corrections**: 383 meV per atom
data_Ta2CdTe
_cell_length_a 5.693
_cell_length_b 5.693
_cell_length_c 5.693
_cell_angle_alpha 144.72
_cell_angle_beta 129.47
_cell_angle_gamma 63.13
_space_group_name_H-M_alt 'P 1'
_space_group_IT_number 1
loop_
_space_group_symop_operation_xyz
'x,y,z'
loop_
_atom_site_label
_atom_site_type_symbol
_atom_site_fract_x
_atom_site_fract_y
_atom_site_fract_z
Cd1 Cd 0.752 0.252 0.500
Te1 Te 0.481 0.481 0.000
Ta1 Ta 0.019 0.019 0.000
Ta2 Ta 0.247 0.747 0.500

---

# GGA-PBE Ta2CdTe, optimized geometry
# **SG**: I-42d, No. 122
# **E above lowest polymorph**: 420.2 meV per atom
# **Total magnetic moment**: 0.00 μB/f.u.
# **Crystal system**: tetragonal
# **N(E_F)**: 7.3 states/eV/cell
# **Formation energy without anion corrections**: 606 meV per atom
data_Ta2CdTe
_cell_length_a 4.108
_cell_length_b 4.108
_cell_length_c 10.722
_cell_angle_alpha 78.95
_cell_angle_beta 78.95
_cell_angle_gamma 90.00
_space_group_name_H-M_alt 'P 1'
_space_group_IT_number 1
loop_
_space_group_symop_operation_xyz
'x,y,z'
loop_
_atom_site_label
_atom_site_type_symbol
_atom_site_fract_x
_atom_site_fract_y
_atom_site_fract_z
Cd1 Cd 0.500 0.500 0.000
Cd2 Cd 0.250 0.750 0.500
Te1 Te 0.000 0.000 0.000
Te2 Te 0.750 0.250 0.500
Ta1 Ta 0.619 0.125 0.250
Ta2 Ta 0.131 0.625 0.250
Ta3 Ta 0.375 0.381 0.750
Ta4 Ta 0.875 0.869 0.750

---

# GGA-PBE Ta2CdTe, optimized geometry
# **SG**: P4/mmm, No. 123
# **E above lowest polymorph**: 176.6 meV per atom
# **Total magnetic moment**: 0.00 μB/f.u.
# **Crystal system**: tetragonal
# **N(E_F)**: 1.2 states/eV/cell
# **Formation energy without anion corrections**: 362 meV per atom
data_Ta2CdTe
_cell_length_a 3.251
_cell_length_b 3.251
_cell_length_c 7.470
_cell_angle_alpha 90.00
_cell_angle_beta 90.00
_cell_angle_gamma 90.00
_space_group_name_H-M_alt 'P 1'
_space_group_IT_number 1
loop_
_space_group_symop_operation_xyz
'x,y,z'
loop_
_atom_site_label
_atom_site_type_symbol
_atom_site_fract_x
_atom_site_fract_y
_atom_site_fract_z
Cd1 Cd 0.500 0.500 0.750
Te1 Te 0.500 0.500 0.250
Ta1 Ta 0.000 0.000 0.016
Ta2 Ta 0.000 0.000 0.484

---

Number 1: V 91.8 Å³/f.u.. Number 2: V 80.7 Å³/f.u.. Number 3: V 172.3 Å³/f.u.. Number 4: V 80.6 Å³/f.u.. Number 5: V 80.7 Å³/f.u.. Number 6: V 81.3 Å³/f.u.. Number 7: V 87.1 Å³/f.u.. Number 8: V 78.9 Å³/f.u..